Density functional theory data (SCAN) for a crystal of Ca2CoSi4NiO12 relaxed with PBEsol.

Geometry as CIF:
```
data_Ca2CoSi4NiO12
_cell_length_a 9.7795
_cell_length_b 8.8492
_cell_length_c 5.2309
_cell_angle_alpha 90.00
_cell_angle_beta 105.80
_cell_angle_gamma 90.00
_symmetry_space_group_name_H-M 'C 1 2 1'
_symmetry_Int_Tables_number 5
loop_
_symmetry_equiv_pos_as_xyz
'x,y,z'
'-x,y,-z'
'x+1/2,y+1/2,z'
'-x+1/2,y+1/2,-z'
loop_
_atom_site_label
_atom_site_type_symbol
_atom_site_fract_x
_atom_site_fract_y
_atom_site_fract_z
Ca1 Ca 0.0000 0.0000 0.0000
Ca2 Ca 0.0000 0.4070 0.5000
Co1 Co 0.0000 0.7949 0.5000
Si1 Si 0.2132 0.1098 0.5243
Si2 Si 0.2126 0.2974 0.0228
Ni1 Ni 0.0000 0.6129 0.0000
O1 O 0.1148 0.6165 0.3900
O2 O 0.1155 0.7901 0.8950
O3 O 0.1396 0.4576 0.9285
O4 O 0.1398 0.9499 0.4297
O5 O 0.1464 0.1838 0.7582
O6 O 0.1477 0.2231 0.2591
```

Properties
Its crystal system is monoclinic. The value obtained for the total energy is -11.2032 eV per atom. For the uncorrected formation energy, the calculation gives -272.2 kJ per mole of atoms.